Density functional theory data (GGA-PBE) for a relaxed YRe3Bi crystal.

Geometry as extended XYZ:
```
5
Lattice="4.925 0.000 0.000 0.000 4.925 0.000 0.000 0.000 4.925" Properties=species:S:1:pos:R:3 pbc="T T T"
Re 2.463 0.000 0.000
Bi 2.463 2.463 2.463
Y 0.000 0.000 0.000
Re 0.000 0.000 2.463
Re 0.000 2.463 0.000
```

Results
The energy above the most stable polymorph in this dataset is 525.8 meV per atom. As for the formation energy: 2.841 eV per atom. The energy comes out at -6.697 eV per atom. As for the crystal system: cubic. As for the density: 11.9 g cm⁻³. Its total magnetization is 2.46 Bohr magnetons per cell.